First-principles (PBE with a Hubbard U) data for Na2LiFeF6 after structural relaxation, as listed in the Alexandria database.

a = 5.3723 Å, b = 5.5216 Å, c = 9.3193 Å
α = 90.00°, β = 124.87°, γ = 90.00°
Last column: nearest neighbours and their distance in Å.
Element x y z (fractional)
Na 0.2355 0.0531 0.2492  6 F 2.32-2.55
Na 0.2355 0.4469 0.7492  6 F 2.32-2.55
Na 0.7645 0.5531 0.2508  6 F 2.32-2.55
Na 0.7645 0.9469 0.7508  6 F 2.32-2.55
Li 0.0000 0.0000 0.5000  6 F 2.05-2.08
Li 0.0000 0.5000 0.0000  6 F 2.05-2.08
Fe 0.5000 0.0000 0.0000  6 F 1.90-1.91
Fe 0.5000 0.5000 0.5000  6 F 1.90-1.91
F 0.1679 0.1946 0.9539  1 Fe 1.91, 1 Li 2.07
F 0.1679 0.3054 0.4539  1 Fe 1.91, 1 Li 2.07
F 0.2605 0.7167 0.9517  1 Fe 1.91, 1 Li 2.08
F 0.2605 0.7833 0.4517  1 Fe 1.91, 1 Li 2.08
F 0.3507 0.0288 0.7597  1 Fe 1.90, 1 Li 2.05
F 0.3507 0.4712 0.2597  1 Fe 1.90, 1 Li 2.05
F 0.6493 0.5288 0.7403  1 Fe 1.90, 1 Li 2.05
F 0.6493 0.9712 0.2403  1 Fe 1.90, 1 Li 2.05
F 0.7395 0.2167 0.5483  1 Fe 1.91, 1 Li 2.08
F 0.7395 0.2833 0.0483  1 Fe 1.91, 1 Li 2.08
F 0.8321 0.6946 0.5461  1 Fe 1.91, 1 Li 2.07
F 0.8321 0.8054 0.0461  1 Fe 1.91, 1 Li 2.07

* Fermi-level density of states: 0.000 states/eV per cell
* space group: No. 14
* VASP energy: -93.0 eV/cell